Here is crystalline MgV2O4 at its relaxed geometry from Alexandria. Energies are from PBE+U.

Values from the calculation:
Final energy, eV per atom: -7.373
Symmetry: No. 62
Total moment, μB/cell: 16.0

Cell lengths 9.2608, 2.9551, 10.4869 Å; angles 90.00, 90.00, 90.00 degrees
Last column: nearest neighbours and their distance in Å.
Atoms (fractional coordinates):
1 Mg 0.2463 0.2500 0.1520  7 O 2.22-2.32
2 Mg 0.2537 0.7500 0.6520  7 O 2.22-2.32
3 Mg 0.7463 0.2500 0.3480  7 O 2.22-2.32
4 Mg 0.7537 0.7500 0.8480  7 O 2.22-2.32
5 V 0.0612 0.7500 0.8805  6 O 1.97-2.12
6 V 0.0935 0.7500 0.3989  6 O 1.97-2.11
7 V 0.4065 0.2500 0.8989  6 O 1.97-2.11
8 V 0.4388 0.2500 0.3805  6 O 1.97-2.12
9 V 0.5612 0.7500 0.6195  6 O 1.97-2.12
10 V 0.5935 0.7500 0.1011  6 O 1.97-2.11
11 V 0.9065 0.2500 0.6011  6 O 1.97-2.11
12 V 0.9388 0.2500 0.1195  6 O 1.97-2.12
13 O 0.0500 0.2500 0.2800  3 V 1.97
14 O 0.0924 0.7500 0.0704  3 V 2.01-2.12, 2 Mg 2.22
15 O 0.1226 0.2500 0.5386  3 V 2.10-2.11, 2 Mg 2.25
16 O 0.2001 0.2500 0.8161  3 V 2.07-2.10
17 O 0.2999 0.7500 0.3161  3 V 2.07-2.10
18 O 0.3774 0.7500 0.0386  3 V 2.10-2.11, 2 Mg 2.25
19 O 0.4076 0.2500 0.5704  3 V 2.01-2.12, 2 Mg 2.22
20 O 0.4500 0.7500 0.7800  3 V 1.97
21 O 0.5500 0.2500 0.2200  3 V 1.97
22 O 0.5924 0.7500 0.4296  3 V 2.01-2.12, 2 Mg 2.22
23 O 0.6226 0.2500 0.9614  3 V 2.10-2.11, 2 Mg 2.25
24 O 0.7001 0.2500 0.6839  3 V 2.07-2.10
25 O 0.7999 0.7500 0.1839  3 V 2.07-2.10
26 O 0.8774 0.7500 0.4614  3 V 2.10-2.11, 2 Mg 2.25
27 O 0.9076 0.2500 0.9296  3 V 2.01-2.12, 2 Mg 2.22
28 O 0.9500 0.7500 0.7200  3 V 1.97